Entry w
# NaLa2TlRu PBE-GGA relaxed
data_NaLa2TlRu
_symmetry_space_group_name_H-M 'P 4/m m m'
_symmetry_Int_Tables_number 123
_symmetry_space_group_name_Hall '-P 4 2'
_cell_length_a 5.4552
_cell_length_b 5.4552
_cell_length_c 5.4884
_cell_angle_alpha 90.00
_cell_angle_beta 90.00
_cell_angle_gamma 90.00
loop_
_atom_site_label
_atom_site_type_symbol
_atom_site_fract_x
_atom_site_fract_y
_atom_site_fract_z
_atom_site_occupancy
Na1 Na 0.0000 0.0000 0.0000 1
La1 La 0.0000 0.5000 0.5000 1
Tl1 Tl 0.5000 0.5000 0.0000 1
Ru1 Ru 0.5000 0.5000 0.5000 1
# - spin magnetization (μB/f.u.) = 0.0
# - density of states at the Fermi level (states/eV/atom) = 0.8972
# - V (Å³ per atom) = 32.67



Entry x
# NaLa2TlRu PBE-GGA relaxed
data_NaLa2TlRu
_symmetry_space_group_name_H-M 'P 4/m m m'
_symmetry_Int_Tables_number 123
_symmetry_space_group_name_Hall '-P 4 2'
_cell_length_a 5.3003
_cell_length_b 5.3003
_cell_length_c 5.6317
_cell_angle_alpha 90.00
_cell_angle_beta 90.00
_cell_angle_gamma 90.00
loop_
_atom_site_label
_atom_site_type_symbol
_atom_site_fract_x
_atom_site_fract_y
_atom_site_fract_z
_atom_site_occupancy
Na1 Na 0.0000 0.0000 0.0000 1
La1 La 0.0000 0.5000 0.5000 1
Tl1 Tl 0.5000 0.5000 0.0000 1
Ru1 Ru 0.0000 0.0000 0.5000 1
# - spin magnetization (μB/f.u.) = 0.0
# - density of states at the Fermi level (states/eV/atom) = 0.8431
# - V (Å³ per atom) = 31.64



Stability, descending: entry w, entry x



Entry w
# NaLa2Sb2 PBE-GGA relaxed
data_NaLa2Sb2
_symmetry_space_group_name_H-M 'I 4/m m m'
_symmetry_Int_Tables_number 139
_symmetry_space_group_name_Hall '-I 4 2'
_cell_length_a 4.9379
_cell_length_b 4.9379
_cell_length_c 14.5929
_cell_angle_alpha 90.00
_cell_angle_beta 90.00
_cell_angle_gamma 90.00
loop_
_atom_site_label
_atom_site_type_symbol
_atom_site_fract_x
_atom_site_fract_y
_atom_site_fract_z
_atom_site_occupancy
Na1 Na 0.0000 0.0000 0.0000 1
La1 La 0.0000 0.0000 0.3901 1
Sb1 Sb 0.0000 0.5000 0.2500 1
# - spin magnetization (μB/f.u.) = 0.0
# - density of states at the Fermi level (states/eV/atom) = 0.6094
# - V (Å³ per atom) = 35.58



Entry x
# NaLa2Sb2 PBE-GGA relaxed
data_NaLa2Sb2
_symmetry_space_group_name_H-M 'I 4/m m m'
_symmetry_Int_Tables_number 139
_symmetry_space_group_name_Hall '-I 4 2'
_cell_length_a 5.4681
_cell_length_b 5.4681
_cell_length_c 13.4721
_cell_angle_alpha 90.00
_cell_angle_beta 90.00
_cell_angle_gamma 90.00
loop_
_atom_site_label
_atom_site_type_symbol
_atom_site_fract_x
_atom_site_fract_y
_atom_site_fract_z
_atom_site_occupancy
Na1 Na 0.0000 0.0000 0.0000 1
La1 La 0.0000 0.5000 0.2500 1
Sb1 Sb 0.0000 0.0000 0.3754 1
# - spin magnetization (μB/f.u.) = 0.0
# - density of states at the Fermi level (states/eV/atom) = 1.2866
# - V (Å³ per atom) = 40.28



Stability, descending: entry x, entry w



Entry w
# NaLaSb2 PBE-GGA relaxed
data_NaLaSb2
_symmetry_space_group_name_H-M 'I -4 2 d'
_symmetry_Int_Tables_number 122
_symmetry_space_group_name_Hall 'I -4 2bw'
_cell_length_a 8.5386
_cell_length_b 8.5386
_cell_length_c 6.6350
_cell_angle_alpha 90.00
_cell_angle_beta 90.00
_cell_angle_gamma 90.00
loop_
_atom_site_label
_atom_site_type_symbol
_atom_site_fract_x
_atom_site_fract_y
_atom_site_fract_z
_atom_site_occupancy
Na1 Na 0.0000 0.0000 0.0000 1
La1 La 0.0000 0.0000 0.5000 1
Sb1 Sb 0.2317 0.7500 0.1250 1
# - spin magnetization (μB/f.u.) = 0.0
# - density of states at the Fermi level (states/eV/atom) = 0.0766
# - V (Å³ per atom) = 30.23



Entry x
# NaLaSb2 PBE-GGA relaxed
data_NaLaSb2
_symmetry_space_group_name_H-M 'P 4/n m m'
_symmetry_Int_Tables_number 129
_cell_length_a 4.4236
_cell_length_b 4.4236
_cell_length_c 12.1989
_cell_angle_alpha 90.00
_cell_angle_beta 90.00
_cell_angle_gamma 90.00
loop_
_symmetry_equiv_pos_as_xyz
'x,y,z'
'-x,-y,-z'
'-y+1/2,x,z'
'y+1/2,-x,-z'
'-x+1/2,-y+1/2,z'
'x+1/2,y+1/2,-z'
'y,-x+1/2,z'
'-y,x+1/2,-z'
'x+1/2,-y,-z'
'-x+1/2,y,z'
'-y,-x,-z'
'y,x,z'
'-x,y+1/2,-z'
'x,-y+1/2,z'
'y+1/2,x+1/2,-z'
'-y+1/2,-x+1/2,z'
loop_
_atom_site_label
_atom_site_type_symbol
_atom_site_fract_x
_atom_site_fract_y
_atom_site_fract_z
_atom_site_occupancy
Na1 Na 0.2500 0.7500 0.0000 1
La1 La 0.2500 0.2500 0.2842 1
Sb1 Sb 0.2500 0.2500 0.8115 1
Sb2 Sb 0.2500 0.7500 0.5000 1
# - spin magnetization (μB/f.u.) = 0.0
# - density of states at the Fermi level (states/eV/atom) = 0.3871
# - V (Å³ per atom) = 29.84



Entry y
# NaLaSb2 PBE-GGA relaxed
data_NaLaSb2
_symmetry_space_group_name_H-M 'P 4/m m m'
_symmetry_Int_Tables_number 123
_symmetry_space_group_name_Hall '-P 4 2'
_cell_length_a 5.0662
_cell_length_b 5.0662
_cell_length_c 4.4545
_cell_angle_alpha 90.00
_cell_angle_beta 90.00
_cell_angle_gamma 90.00
loop_
_atom_site_label
_atom_site_type_symbol
_atom_site_fract_x
_atom_site_fract_y
_atom_site_fract_z
_atom_site_occupancy
Na1 Na 0.0000 0.0000 0.0000 1
La1 La 0.5000 0.5000 0.0000 1
Sb1 Sb 0.0000 0.5000 0.5000 1
# - spin magnetization (μB/f.u.) = 0.0
# - density of states at the Fermi level (states/eV/atom) = 0.4977
# - V (Å³ per atom) = 28.58



Entry z
# NaLaSb2 PBE-GGA relaxed
data_NaLaSb2
_symmetry_space_group_name_H-M 'F m -3 m'
_symmetry_Int_Tables_number 225
_symmetry_space_group_name_Hall '-F 4 2 3'
_cell_length_a 7.7831
_cell_length_b 7.7831
_cell_length_c 7.7831
_cell_angle_alpha 90.00
_cell_angle_beta 90.00
_cell_angle_gamma 90.00
loop_
_atom_site_label
_atom_site_type_symbol
_atom_site_fract_x
_atom_site_fract_y
_atom_site_fract_z
_atom_site_occupancy
Na1 Na 0.0000 0.0000 0.0000 1
La1 La 0.0000 0.0000 0.5000 1
Sb1 Sb 0.2500 0.2500 0.2500 1
# - spin magnetization (μB/f.u.) = 0.0
# - density of states at the Fermi level (states/eV/atom) = 1.4052
# - V (Å³ per atom) = 29.47



Stability, descending: entry x, entry y, entry z, entry w



Entry w
# NaLaSb2Te PBE-GGA relaxed
data_NaLaSb2Te
_symmetry_space_group_name_H-M 'P 4/m m m'
_symmetry_Int_Tables_number 123
_symmetry_space_group_name_Hall '-P 4 2'
_cell_length_a 6.1100
_cell_length_b 6.1100
_cell_length_c 6.1730
_cell_angle_alpha 90.00
_cell_angle_beta 90.00
_cell_angle_gamma 90.00
loop_
_atom_site_label
_atom_site_type_symbol
_atom_site_fract_x
_atom_site_fract_y
_atom_site_fract_z
_atom_site_occupancy
Na1 Na 0.0000 0.0000 0.0000 1
La1 La 0.5000 0.5000 0.5000 1
Sb1 Sb 0.0000 0.5000 0.5000 1
Te1 Te 0.5000 0.5000 0.0000 1
# - spin magnetization (μB/f.u.) = 0.0
# - density of states at the Fermi level (states/eV/atom) = 1.2939
# - V (Å³ per atom) = 46.09



Entry x
# NaLaSb2Te PBE-GGA relaxed
data_NaLaSb2Te
_symmetry_space_group_name_H-M 'P 4/m m m'
_symmetry_Int_Tables_number 123
_symmetry_space_group_name_Hall '-P 4 2'
_cell_length_a 5.3642
_cell_length_b 5.3642
_cell_length_c 5.4836
_cell_angle_alpha 90.00
_cell_angle_beta 90.00
_cell_angle_gamma 90.00
loop_
_atom_site_label
_atom_site_type_symbol
_atom_site_fract_x
_atom_site_fract_y
_atom_site_fract_z
_atom_site_occupancy
Na1 Na 0.0000 0.0000 0.0000 1
La1 La 0.5000 0.5000 0.5000 1
Sb1 Sb 0.0000 0.5000 0.0000 1
Te1 Te 0.0000 0.0000 0.5000 1
# - spin magnetization (μB/f.u.) = 0.0
# - density of states at the Fermi level (states/eV/atom) = 0.6191
# - V (Å³ per atom) = 31.56



Stability, descending: entry w, entry x



Entry w
# NaLaSc3 PBE-GGA relaxed
data_NaLaSc3
_symmetry_space_group_name_H-M 'P m -3 m'
_symmetry_Int_Tables_number 221
_symmetry_space_group_name_Hall '-P 4 2 3'
_cell_length_a 5.4124
_cell_length_b 5.4124
_cell_length_c 5.4124
_cell_angle_alpha 90.00
_cell_angle_beta 90.00
_cell_angle_gamma 90.00
loop_
_atom_site_label
_atom_site_type_symbol
_atom_site_fract_x
_atom_site_fract_y
_atom_site_fract_z
_atom_site_occupancy
Na1 Na 0.0000 0.0000 0.0000 1
La1 La 0.5000 0.5000 0.5000 1
Sc1 Sc 0.0000 0.5000 0.5000 1
# - spin magnetization (μB/f.u.) = 0.0
# - density of states at the Fermi level (states/eV/atom) = 1.5937
# - V (Å³ per atom) = 31.71



Entry x
# NaLaSc3 PBE-GGA relaxed
data_NaLaSc3
_symmetry_space_group_name_H-M 'P m -3 m'
_symmetry_Int_Tables_number 221
_symmetry_space_group_name_Hall '-P 4 2 3'
_cell_length_a 5.2969
_cell_length_b 5.2969
_cell_length_c 5.2969
_cell_angle_alpha 90.00
_cell_angle_beta 90.00
_cell_angle_gamma 90.00
loop_
_atom_site_label
_atom_site_type_symbol
_atom_site_fract_x
_atom_site_fract_y
_atom_site_fract_z
_atom_site_occupancy
Na1 Na 0.0000 0.0000 0.0000 1
La1 La 0.5000 0.5000 0.5000 1
Sc1 Sc 0.0000 0.0000 0.5000 1
# - spin magnetization (μB/f.u.) = 0.0
# - density of states at the Fermi level (states/eV/atom) = 2.2322
# - V (Å³ per atom) = 29.72



Stability, descending: entry x, entry w



Entry w
# NaLa3Se4 PBE-GGA relaxed
data_NaLa3Se4
_symmetry_space_group_name_H-M 'C m m m'
_symmetry_Int_Tables_number 65
_symmetry_space_group_name_Hall '-C 2 2'
_cell_length_a 8.6356
_cell_length_b 12.1913
_cell_length_c 4.3062
_cell_angle_alpha 90.00
_cell_angle_beta 90.00
_cell_angle_gamma 90.00
loop_
_atom_site_label
_atom_site_type_symbol
_atom_site_fract_x
_atom_site_fract_y
_atom_site_fract_z
_atom_site_occupancy
Na1 Na 0.0000 0.0000 0.0000 1
La1 La 0.0000 0.5000 0.0000 1
La2 La 0.2500 0.2500 0.5000 1
Se1 Se 0.0000 0.2480 0.0000 1
Se2 Se 0.2503 0.0000 0.5000 1
# - spin magnetization (μB/f.u.) = 0.0
# - density of states at the Fermi level (states/eV/atom) = 0.4245
# - V (Å³ per atom) = 28.33



Entry x
# NaLa3Se4 PBE-GGA relaxed
data_NaLa3Se4
_symmetry_space_group_name_H-M 'P m -3 m'
_symmetry_Int_Tables_number 221
_symmetry_space_group_name_Hall '-P 4 2 3'
_cell_length_a 6.0848
_cell_length_b 6.0848
_cell_length_c 6.0848
_cell_angle_alpha 90.00
_cell_angle_beta 90.00
_cell_angle_gamma 90.00
loop_
_atom_site_label
_atom_site_type_symbol
_atom_site_fract_x
_atom_site_fract_y
_atom_site_fract_z
_atom_site_occupancy
Na1 Na 0.0000 0.0000 0.0000 1
La1 La 0.0000 0.5000 0.5000 1
Se1 Se 0.0000 0.0000 0.5000 1
Se2 Se 0.5000 0.5000 0.5000 1
# - spin magnetization (μB/f.u.) = 0.0
# - density of states at the Fermi level (states/eV/atom) = 0.3756
# - V (Å³ per atom) = 28.16



Stability, descending: entry x, entry w